LiPdS3: optimized geometry, PBE.

## Properties
formation energy (no corrections): -0.4277 eV/atom
energy relative to the lowest polymorph listed for this composition: 0.00 eV per formula unit
DFT total energy: -4.33 eV/atom
density: 3.63 g/cm3

a = 7.3790 Å, b = 8.5481 Å, c = 6.4480 Å
α = 90.00°, β = 109.38°, γ = 90.00°
Fractional positions:
1 Li 0.0442 0.0341 0.2876
2 Li 0.0442 0.4659 0.7876
3 Li 0.9558 0.5341 0.2124
4 Li 0.9558 0.9659 0.7124
5 Pd 0.2995 0.1419 0.9143
6 Pd 0.2995 0.3581 0.4143
7 Pd 0.7005 0.6419 0.5857
8 Pd 0.7005 0.8581 0.0857
9 S 0.0962 0.2379 0.5791
10 S 0.0962 0.2621 0.0791
11 S 0.3333 0.6364 0.8589
12 S 0.3333 0.8636 0.3589
13 S 0.4884 0.5028 0.7316
14 S 0.4884 0.9972 0.2316
15 S 0.5116 0.0028 0.7684
16 S 0.5116 0.4972 0.2684
17 S 0.6667 0.1364 0.6411
18 S 0.6667 0.3636 0.1411
19 S 0.9038 0.7379 0.9209
20 S 0.9038 0.7621 0.4209